The following is a PBE calculation of a geometry-optimized LiPmCu2 structure, from Alexandria via LeMat-Bulk.

## Properties
- N(E_F) (states/eV/f.u.) = 2.29
- formation energy from the elements (kcal/mol of atoms) = -2.657
- total magnetization (μB/f.u.) = 0.00
- calculated total energy (eV/cell) = -15.32
- space group = No. 166

```
data_LiPmCu2
_chemical_formula_sum 'Li1 Pm1 Cu2'
_cell_length_a 5.3052
_cell_length_b 5.3052
_cell_length_c 5.3052
_cell_angle_alpha 47.89
_cell_angle_beta 47.89
_cell_angle_gamma 47.89
_symmetry_space_group_name_H-M 'P 1'
_symmetry_Int_Tables_number 1
_symmetry_space_group_name_Hall 'P 1'
loop_
_atom_site_label
_atom_site_fract_x
_atom_site_fract_y
_atom_site_fract_z
Li1 0.0000 0.0000 0.0000
Pm1 0.5000 0.5000 0.5000
Cu1 0.2950 0.2950 0.2950
Cu2 0.7050 0.7050 0.7050
```

=====

The following is a PBE calculation of a geometry-optimized LiPmCu4 structure, from Alexandria via LeMat-Bulk.

## Properties
- N(E_F) (states/eV/f.u.) = 6.26
- formation energy from the elements (kcal/mol of atoms) = -3.652
- total magnetization (μB/f.u.) = 0.00
- calculated total energy (eV/cell) = -24.00
- space group = No. 216

```
data_LiPmCu4
_chemical_formula_sum 'Li1 Pm1 Cu4'
_cell_length_a 5.1114
_cell_length_b 5.1114
_cell_length_c 5.1114
_cell_angle_alpha 60.00
_cell_angle_beta 60.00
_cell_angle_gamma 60.00
_symmetry_space_group_name_H-M 'P 1'
_symmetry_Int_Tables_number 1
_symmetry_space_group_name_Hall 'P 1'
loop_
_atom_site_label
_atom_site_fract_x
_atom_site_fract_y
_atom_site_fract_z
Li1 0.0000 0.0000 0.0000
Pm1 0.2500 0.2500 0.2500
Cu1 0.1192 0.6269 0.6269
Cu2 0.6269 0.1192 0.6269
Cu3 0.6269 0.6269 0.1192
Cu4 0.6269 0.6269 0.6269
```

=====

The following is a PBE calculation of a geometry-optimized LiPm2Cu2 structure, from Alexandria via LeMat-Bulk.

## Properties
- N(E_F) (states/eV/f.u.) = 4.31
- formation energy from the elements (kcal/mol of atoms) = -2.873
- total magnetization (μB/f.u.) = 0.00
- calculated total energy (eV/cell) = -40.46
- space group = No. 127

```
data_LiPm2Cu2
_chemical_formula_sum 'Li2 Pm4 Cu4'
_cell_length_a 7.7046
_cell_length_b 7.7046
_cell_length_c 3.8457
_cell_angle_alpha 90.00
_cell_angle_beta 90.00
_cell_angle_gamma 90.00
_symmetry_space_group_name_H-M 'P 1'
_symmetry_Int_Tables_number 1
_symmetry_space_group_name_Hall 'P 1'
loop_
_atom_site_label
_atom_site_fract_x
_atom_site_fract_y
_atom_site_fract_z
Li1 0.0000 0.0000 0.0000
Li2 0.5000 0.5000 0.0000
Pm1 0.1727 0.3273 0.5000
Pm2 0.3273 0.8273 0.5000
Pm3 0.6727 0.1727 0.5000
Pm4 0.8273 0.6727 0.5000
Cu1 0.1197 0.6197 0.0000
Cu2 0.3803 0.1197 0.0000
Cu3 0.6197 0.8803 0.0000
Cu4 0.8803 0.3803 0.0000
```